Run one
First-principles (PBE) data for a relaxed structure of Cu2Pd3Au2, as listed in Alexandria.

a b c (Å): 4.1486 5.8764 10.0823
angles (deg): 90.00 114.31 90.00
Closest atoms and distances in Å follow each position.
Positions (direct):
Au (0.3197, 0.8364, 0.8199)  3 Cu 2.51-2.56, 1 Pd 2.80
Au (0.6803, 0.3364, 0.6801)  3 Cu 2.51-2.56, 1 Pd 2.80
Au (0.6803, 0.1636, 0.1801)  3 Cu 2.51-2.56, 1 Pd 2.80
Au (0.3197, 0.6636, 0.3199)  3 Cu 2.51-2.56, 1 Pd 2.80
Cu (0.8912, 0.8943, 0.3915)  1 Cu 2.35, 3 Au 2.51-2.56, 1 Pd 2.52
Cu (0.1088, 0.3943, 0.1085)  1 Cu 2.35, 3 Au 2.51-2.56, 1 Pd 2.52
Cu (0.1088, 0.1057, 0.6085)  1 Cu 2.35, 3 Au 2.51-2.56, 1 Pd 2.52
Cu (0.8912, 0.6057, 0.8915)  1 Cu 2.35, 3 Au 2.51-2.56, 1 Pd 2.52
Pd (0.6074, 0.8194, 0.6074)  5 Cu 2.67-2.90, 4 Au 2.80-2.92, 3 Pd 2.90-2.97
Pd (0.3926, 0.3194, 0.8926)  5 Cu 2.67-2.90, 4 Au 2.80-2.92, 3 Pd 2.90-2.97
Pd (0.0000, 0.0000, 0.0000)  2 Cu 2.52, 4 Au 2.82
Pd (0.0000, 0.5000, 0.5000)  2 Cu 2.52, 4 Au 2.82
Pd (0.3926, 0.1806, 0.3926)  5 Cu 2.67-2.90, 4 Au 2.80-2.92, 3 Pd 2.90-2.97
Pd (0.6074, 0.6806, 0.1074)  5 Cu 2.67-2.90, 4 Au 2.80-2.92, 3 Pd 2.90-2.97

Properties
calculated density: 12.458 g/cm3
magnetic moment: 0.000 μB per atom

***

Run two
First-principles (PBE) data for a relaxed structure of Cu2Pd3Au2, as listed in Alexandria.

a b c (Å): 3.9851 4.8710 6.0683
angles (deg): 84.36 90.00 114.15
Closest atoms and distances in Å follow each position.
Positions (direct):
Au (0.5801, 0.1603, 0.2926)  5 Cu 2.71-2.84, 1 Au 2.76, 6 Pd 2.79-2.84
Au (0.4199, 0.8397, 0.7074)  5 Cu 2.71-2.84, 1 Au 2.76, 6 Pd 2.79-2.84
Cu (0.1390, 0.2780, 0.5738)  4 Pd 2.70-2.74, 5 Au 2.71-2.84, 3 Cu 2.72-2.88
Cu (0.8610, 0.7220, 0.4262)  4 Pd 2.70-2.74, 5 Au 2.71-2.84, 3 Cu 2.72-2.88
Pd (0.7112, 0.4224, 0.8440)  3 Cu 2.70-2.73, 4 Au 2.79-2.84, 5 Pd 2.83-2.88
Pd (0.2888, 0.5776, 0.1560)  3 Cu 2.70-2.73, 4 Au 2.79-2.84, 5 Pd 2.83-2.88
Pd (0.0000, 0.0000, 0.0000)  2 Cu 2.74, 4 Au 2.81, 6 Pd 2.83

Properties
calculated density: 13.057 g/cm3
magnetic moment: 0.000 μB per atom

***

Name the least stable of them. run one.

***

Run one
First-principles (PBE) data for a relaxed structure of Cu5Pd12Au2, as listed in Alexandria.

a b c (Å): 4.6882 8.6269 8.6269
angles (deg): 62.28 76.05 76.05
Closest atoms and distances in Å follow each position.
Positions (direct):
Cu (0.1453, 0.7010, 0.7010)  2 Cu 2.59-2.87, 9 Pd 2.65-2.82
Cu (0.4071, 0.2008, 0.2008)  3 Cu 2.59-2.87, 9 Pd 2.61-2.88
Cu (0.5929, 0.7992, 0.7992)  3 Cu 2.59-2.87, 9 Pd 2.61-2.88
Cu (0.5000, 0.0000, 0.0000)  6 Pd 2.54-2.62
Cu (0.8547, 0.2990, 0.2990)  2 Cu 2.59-2.87, 9 Pd 2.65-2.82
Pd (0.3941, 0.3469, 0.8560)  3 Cu 2.62-2.78, 2 Au 2.69-2.82, 5 Pd 2.72-2.88
Pd (0.3941, 0.8560, 0.3469)  3 Cu 2.62-2.78, 2 Au 2.69-2.82, 5 Pd 2.72-2.88
Pd (0.9625, 0.1010, 0.1010)  3 Cu 2.54-2.82, 2 Pd 2.68, 2 Au 2.78
Pd (0.2823, 0.3913, 0.3913)  3 Cu 2.65-2.72, 4 Pd 2.72-2.75, 2 Au 2.74
Pd (0.6059, 0.6531, 0.1440)  3 Cu 2.62-2.78, 2 Au 2.69-2.82, 5 Pd 2.72-2.88
Pd (0.2055, 0.5472, 0.0456)  7 Pd 2.66-2.79, 4 Cu 2.67-2.88, 1 Au 2.89
Pd (0.2055, 0.0456, 0.5472)  7 Pd 2.66-2.79, 4 Cu 2.67-2.88, 1 Au 2.89
Pd (0.7177, 0.6087, 0.6087)  3 Cu 2.65-2.72, 4 Pd 2.72-2.75, 2 Au 2.74
Pd (0.7945, 0.4528, 0.9544)  7 Pd 2.66-2.79, 4 Cu 2.67-2.88, 1 Au 2.89
Pd (0.6059, 0.1440, 0.6531)  3 Cu 2.62-2.78, 2 Au 2.69-2.82, 5 Pd 2.72-2.88
Pd (0.7945, 0.9544, 0.4528)  7 Pd 2.66-2.79, 4 Cu 2.67-2.88, 1 Au 2.89
Pd (0.0375, 0.8990, 0.8990)  3 Cu 2.54-2.82, 2 Pd 2.68, 2 Au 2.78
Au (0.0000, 0.2658, 0.7342)  10 Pd 2.69-2.89
Au (0.0000, 0.7342, 0.2658)  10 Pd 2.69-2.89

Properties
calculated density: 11.143 g/cm3
magnetic moment: 0.000 μB per atom

***

Run two
First-principles (PBE) data for a relaxed structure of Cu5Pd12Au2, as listed in Alexandria.

a b c (Å): 5.4150 7.6656 8.5236
angles (deg): 103.98 90.00 110.68
Closest atoms and distances in Å follow each position.
Positions (direct):
Au (0.7455, 0.0000, 0.0000)  2 Au 2.66-2.76, 4 Pd 2.76-2.81, 2 Cu 2.88
Au (0.2545, 0.0000, 0.0000)  2 Au 2.66-2.76, 4 Pd 2.76-2.81, 2 Cu 2.88
Pd (0.8907, 0.7814, 0.1689)  6 Pd 2.70-2.98, 3 Cu 2.74-2.85, 2 Au 2.76
Pd (0.1093, 0.2186, 0.8311)  6 Pd 2.70-2.98, 3 Cu 2.74-2.85, 2 Au 2.76
Pd (0.5904, 0.6919, 0.4113)  4 Cu 2.51-2.75, 5 Pd 2.65-2.80
Pd (0.1015, 0.6919, 0.4113)  4 Cu 2.51-2.75, 5 Pd 2.65-2.80
Pd (0.4096, 0.3081, 0.5887)  4 Cu 2.51-2.75, 5 Pd 2.65-2.80
Pd (0.0435, 0.5966, 0.8767)  3 Cu 2.50-2.62, 3 Pd 2.66-2.77
Pd (0.9565, 0.4034, 0.1233)  3 Cu 2.50-2.62, 3 Pd 2.66-2.77
Pd (0.4469, 0.4034, 0.1233)  3 Cu 2.50-2.62, 3 Pd 2.66-2.77
Pd (0.5145, 0.0289, 0.3481)  2 Cu 2.46-2.51, 1 Pd 2.73
Pd (0.8985, 0.3081, 0.5887)  4 Cu 2.51-2.75, 5 Pd 2.65-2.80
Pd (0.5531, 0.5966, 0.8767)  3 Cu 2.50-2.62, 3 Pd 2.66-2.77
Pd (0.4855, 0.9711, 0.6519)  2 Cu 2.46-2.51, 1 Pd 2.73
Cu (0.3613, 0.7226, 0.1366)  9 Pd 2.46-2.75
Cu (0.3085, 0.6170, 0.6376)  7 Pd 2.50-2.55
Cu (0.6387, 0.2774, 0.8634)  9 Pd 2.46-2.75
Cu (0.6915, 0.3830, 0.3624)  7 Pd 2.50-2.55
Cu (0.0000, 0.0000, 0.5000)  6 Pd 2.55-2.85

Properties
calculated density: 10.327 g/cm3
magnetic moment: 0.000 μB per atom

***

Name the least stable of them. run two.

***

Run one
First-principles (PBE) data for a relaxed structure of Cu2PdAu6, as listed in Alexandria.

a b c (Å): 4.0574 5.0114 8.6062
angles (deg): 70.24 90.00 113.88
Closest atoms and distances in Å follow each position.
Positions (direct):
Au (0.6809, 0.3619, 0.2612)  3 Cu 2.73-2.81, 7 Au 2.86-2.99, 2 Pd 2.93
Au (0.9802, 0.9604, 0.8472)  5 Cu 2.70-2.91, 6 Au 2.79-2.90, 1 Pd 2.93
Au (0.6615, 0.3230, 0.6161)  1 Cu 2.81, 3 Pd 2.89-2.90, 8 Au 2.89-2.99
Au (0.3385, 0.6770, 0.3839)  1 Cu 2.81, 3 Pd 2.89-2.90, 8 Au 2.89-2.99
Au (0.3191, 0.6381, 0.7388)  3 Cu 2.73-2.81, 7 Au 2.86-2.99, 2 Pd 2.93
Au (0.0198, 0.0396, 0.1528)  5 Cu 2.70-2.91, 6 Au 2.79-2.90, 1 Pd 2.93
Cu (0.3413, 0.6827, 0.0562)  9 Au 2.70-2.91, 3 Cu 2.70-3.01
Cu (0.6587, 0.3173, 0.9438)  9 Au 2.70-2.91, 3 Cu 2.70-3.01
Pd (0.0000, 0.0000, 0.5000)  12 Au 2.89-2.93

Properties
calculated density: 15.808 g/cm3
magnetic moment: 0.000 μB per atom

***

Run two
First-principles (PBE) data for a relaxed structure of Cu2PdAu6, as listed in Alexandria.

a b c (Å): 5.4889 6.5602 9.7274
angles (deg): 114.59 90.00 90.00
Closest atoms and distances in Å follow each position.
Positions (direct):
Au (0.2534, 0.2691, 0.4006)  6 Au 2.71-3.03, 3 Cu 2.72-2.86, 1 Pd 2.72
Au (0.7522, 0.7703, 0.9010)  6 Au 2.71-3.03, 3 Cu 2.72-2.84, 1 Pd 2.72
Au (0.7534, 0.2309, 0.0994)  6 Au 2.71-3.03, 3 Cu 2.72-2.86, 1 Pd 2.72
Au (0.5010, 0.6517, 0.3169)  3 Cu 2.66-2.80, 1 Pd 2.82, 2 Au 2.91
Au (0.2466, 0.7691, 0.9006)  6 Au 2.71-3.03, 3 Cu 2.72-2.86, 1 Pd 2.72
Au (0.9990, 0.1517, 0.8169)  3 Cu 2.66-2.80, 1 Pd 2.82, 2 Au 2.91
Au (0.4990, 0.3483, 0.6831)  3 Cu 2.66-2.80, 1 Pd 2.82, 2 Au 2.91
Au (0.7478, 0.2703, 0.4010)  6 Au 2.71-3.03, 3 Cu 2.72-2.84, 1 Pd 2.72
Au (0.2522, 0.7297, 0.5990)  6 Au 2.71-3.03, 3 Cu 2.72-2.84, 1 Pd 2.72
Au (0.7466, 0.7309, 0.5994)  6 Au 2.71-3.03, 3 Cu 2.72-2.86, 1 Pd 2.72
Au (0.2478, 0.2297, 0.0990)  6 Au 2.71-3.03, 3 Cu 2.72-2.84, 1 Pd 2.72
Au (0.0010, 0.8483, 0.1831)  3 Cu 2.66-2.80, 1 Pd 2.82, 2 Au 2.91
Pd (0.5000, 0.5000, 0.0000)  2 Cu 2.64, 6 Au 2.72-2.82
Pd (0.0000, 0.0000, 0.5000)  2 Cu 2.64, 6 Au 2.72-2.82
Cu (0.9986, 0.4305, 0.6823)  1 Pd 2.64, 9 Au 2.66-2.86
Cu (0.0014, 0.5695, 0.3177)  1 Pd 2.64, 9 Au 2.66-2.86
Cu (0.4986, 0.0695, 0.8177)  1 Pd 2.64, 9 Au 2.66-2.86
Cu (0.5014, 0.9305, 0.1823)  1 Pd 2.64, 9 Au 2.66-2.86

Properties
calculated density: 14.758 g/cm3
magnetic moment: 0.000 μB per atom

***

Name the least stable of them. run two.

***

Run one
First-principles (PBE) data for a relaxed structure of CuPd5Au, as listed in Alexandria.

a b c (Å): 9.4222 9.4222 9.3064
angles (deg): 31.64 31.64 47.16
Closest atoms and distances in Å follow each position.
Positions (direct):
Pd (0.5339, 0.2384, 0.1878)  2 Cu 2.61-2.75, 7 Pd 2.65-2.92, 1 Au 2.75
Pd (0.2384, 0.5339, 0.6878)  2 Cu 2.61-2.75, 7 Pd 2.65-2.92, 1 Au 2.75
Pd (0.0140, 0.3966, 0.4331)  2 Cu 2.69-2.88, 7 Pd 2.71-3.00, 1 Au 2.78
Pd (0.6034, 0.9860, 0.0669)  2 Cu 2.69-2.88, 7 Pd 2.71-3.00, 1 Au 2.78
Pd (0.8366, 0.1634, 0.2500)  1 Cu 2.54, 2 Au 2.63, 4 Pd 2.65-2.72
Pd (0.9860, 0.6034, 0.5669)  2 Cu 2.69-2.88, 7 Pd 2.71-3.00, 1 Au 2.78
Pd (0.4661, 0.7616, 0.8122)  2 Cu 2.61-2.75, 7 Pd 2.65-2.92, 1 Au 2.75
Pd (0.7616, 0.4661, 0.3122)  2 Cu 2.61-2.75, 7 Pd 2.65-2.92, 1 Au 2.75
Pd (0.1634, 0.8366, 0.7500)  1 Cu 2.54, 2 Au 2.63, 4 Pd 2.65-2.72
Pd (0.3966, 0.0140, 0.9331)  2 Cu 2.69-2.88, 7 Pd 2.71-3.00, 1 Au 2.78
Cu (0.4994, 0.5006, 0.2500)  7 Pd 2.54-2.75
Cu (0.5006, 0.4994, 0.7500)  7 Pd 2.54-2.75
Au (0.0000, 0.0000, 0.0000)  6 Pd 2.63-2.78
Au (0.0000, 0.0000, 0.5000)  6 Pd 2.63-2.78

Properties
calculated density: 11.737 g/cm3
magnetic moment: 0.000 μB per atom

***

Run two
First-principles (PBE) data for a relaxed structure of CuPd5Au, as listed in Alexandria.

a b c (Å): 4.7593 4.7593 5.5750
angles (deg): 90.00 90.00 110.87
Closest atoms and distances in Å follow each position.
Positions (direct):
Pd (0.0000, 0.5000, 0.2513)  6 Pd 2.70-2.80, 2 Cu 2.75, 2 Au 2.76
Pd (0.0000, 0.0000, 0.5000)  2 Cu 2.70, 8 Pd 2.75, 2 Au 2.79
Pd (0.5000, 0.0000, 0.2513)  6 Pd 2.70-2.80, 2 Cu 2.75, 2 Au 2.76
Pd (0.5000, 0.0000, 0.7487)  6 Pd 2.70-2.80, 2 Cu 2.75, 2 Au 2.76
Pd (0.0000, 0.5000, 0.7487)  6 Pd 2.70-2.80, 2 Cu 2.75, 2 Au 2.76
Au (0.0000, 0.0000, 0.0000)  10 Pd 2.76-2.79
Cu (0.5000, 0.5000, 0.5000)  10 Pd 2.70-2.75

Properties
calculated density: 11.154 g/cm3
magnetic moment: 0.000 μB per atom

***

Name the least stable of them. run two.